The following is a DFT calculation (PBE) of an optimized crystal structure of K2As2O.

Formation energy from raw total energies   -0.4 eV/f.u.
Polymorph energy (0 for the lowest one)   4.37 kcal/mol of atoms
Crystal system   tetragonal
Calculated total energy   -33.693 eV per cell

a b c (Å): 6.5260 6.5260 5.3748
angles (deg): 90.00 90.00 90.00
With the nearest neighbours (Å) after each atom.
Space group P4/mbm (No. 127)
Asymmetric unit:
1 K 0.1732 0.3268 0.0000 [4 per cell]  6 As 3.18-3.39, 5 K 3.20-3.41
2 As 0.1426 0.6426 0.5000 [4 per cell]  2 O 2.51, 1 As 2.63
3 O 0.0000 0.0000 0.5000 [2 per cell]  4 As 2.51